Record 1
A plane-wave DFT calculation with PBE-GGA was carried out for crystalline Na2AcAsSe4 at its relaxed geometry.

Values from the calculation:
- Spin magnetization: 0.00 μB per formula unit
- Electronic total energy: -135.38 eV/cell
- Uncorrected formation energy: -1.06 eV/atom
- Crystal system: orthorhombic

abc: 8.258 8.850 12.037
angles: 90.00 90.00 90.00
Space group Imma (No. 74)
Inequivalent atoms, fractional coordinates:
Na 0.000 0.000 0.000
Na 0.250 0.250 0.250
Ac 0.000 0.000 0.500
As 0.250 0.250 0.750
Se 0.000 0.034 0.755
Se 0.243 0.250 0.984

---

Record 2
A plane-wave DFT calculation with PBE-GGA was carried out for crystalline GdSn2 at its relaxed geometry.

Values from the calculation:
- Spin magnetization: 7.06 μB per formula unit
- DFT formation energy: -605 meV/atom
- Electronic total energy: -95.61 eV/cell
- Crystal system: orthorhombic

abc: 4.493 16.424 4.369
angles: 90.00 90.00 90.00
Space group Cmcm (No. 63)
Inequivalent atoms, fractional coordinates:
Gd 0.000 0.098 0.250
Sn 0.000 0.253 0.750
Sn 0.000 0.436 0.250

---

Record 3
A plane-wave DFT calculation with PBE-GGA was carried out for crystalline AsIrCl2 at its relaxed geometry.

Values from the calculation:
- Spin magnetization: 1.02 μB per formula unit
- Electronic total energy: -13.20 eV/cell
- Uncorrected formation energy: 1.00 eV/atom
- Excess energy over the best structure of this formula in the dataset: 1471 meV per atom
- Crystal system: orthorhombic

abc: 2.934 3.998 6.121
angles: 90.00 90.00 90.00
Space group Pmmm (No. 47)
Inequivalent atoms, fractional coordinates:
As 0.000 0.000 0.000
Ir 0.000 0.000 0.500
Cl 0.500 0.500 0.263

---

Record 4
A plane-wave DFT calculation with PBE-GGA was carried out for crystalline Tb8Tl2Ge at its relaxed geometry.

Values from the calculation:
- Spin magnetization: 0.00 μB per formula unit
- DFT formation energy: -254 meV/atom
- Electronic total energy: -98.37 eV/cell
- Crystal system: monoclinic

abc: 19.123 5.117 6.769
angles: 90.00 103.43 90.00
Space group C2/m (No. 12)
Inequivalent atoms, fractional coordinates:
Tb 0.019 0.000 0.272
Tb 0.089 0.500 0.956
Tb 0.152 0.500 0.487
Tb 0.211 0.000 0.817
Tl 0.183 0.000 0.256
Ge 0.000 0.500 0.500

---

Record 5
A plane-wave DFT calculation with PBE-GGA was carried out for crystalline CoTeRh2 at its relaxed geometry.

Values from the calculation:
- Spin magnetization: 2.87 μB per formula unit
- Electronic total energy: -70.74 eV/cell
- Uncorrected formation energy: 0.34 eV/atom
- Crystal system: trigonal

abc: 3.0631 3.0631 24.0327
angles: 90.00 90.00 120.00
Space group R-3m (No. 166, hexagonal axes)
Inequivalent atoms, fractional coordinates:
Co 0.0000 0.0000 0.0000
Te 0.0000 0.0000 0.5000
Rh 0.0000 0.0000 0.2543

---

Record 6
A plane-wave DFT calculation with PBE-GGA was carried out for crystalline Pm2DyTe4 at its relaxed geometry.

Values from the calculation:
- Spin magnetization: 0.00 μB per formula unit
- Electronic total energy: -146.95 eV/cell
- Uncorrected formation energy: -1.44 eV/atom
- Excess energy over the best structure of this formula in the dataset: 0 meV per atom
- Crystal system: orthorhombic

abc: 8.828 8.855 12.299
angles: 90.00 90.00 90.00
Space group Imma (No. 74)
Inequivalent atoms, fractional coordinates:
Pm 0.000 0.000 0.000
Pm 0.250 0.250 0.250
Dy 0.000 0.000 0.500
Te 0.000 0.006 0.747
Te 0.245 0.250 0.510